1.
Material: SbI3N
Method: DFT, GGA-PBE
State: relaxed

**Offset from the most stable computed form**: 588.4 meV/atom
**SG**: No. 221
**V**: 132.0 Å³/cell
**Total moment**: 0.00 μB per atom

a b c (Å): 5.091 5.091 5.091
angles (deg): 90.00 90.00 90.00
Atoms (fractional coordinates):
I: 0.000 0.000 0.500
N: 0.000 0.000 0.000
Sb: 0.500 0.500 0.500
I: 0.000 0.500 0.000
I: 0.500 0.000 0.000

2.
Material: Nb2VMo4
Method: DFT, GGA-PBE
State: relaxed

**Offset from the most stable computed form**: 0.0 meV/atom
**SG**: No. 65
**V**: 116.3 Å³/cell
**Total moment**: 0.00 μB per atom

a b c (Å): 3.141 3.112 12.007
angles (deg): 90.00 97.52 90.00
Atoms (fractional coordinates):
Nb: 0.202 0.500 0.404
Mo: 0.630 0.000 0.259
Mo: 0.936 0.500 0.871
Nb: 0.798 0.500 0.596
Mo: 0.370 0.000 0.741
Mo: 0.064 0.500 0.129
V: 0.500 0.000 0.000

3.
Material: DyAlAg
Method: DFT, GGA-PBE
State: relaxed

**SG**: No. 12
**V**: 137.2 Å³/cell
**Total moment**: 0.00 μB per atom

a b c (Å): 3.634 5.821 7.341
angles (deg): 70.33 75.67 71.81
Atoms (fractional coordinates):
Dy: 0.134 0.499 0.234
Ag: 0.372 0.825 0.431
Al: 0.121 0.919 0.839
Ag: 0.628 0.175 0.569
Dy: 0.866 0.501 0.766
Al: 0.879 0.081 0.161

Record-wise uncorrected energy values, in eV for the cell shown: -12.24 -71.61 -23.53